The following is a GGA-PBE calculation of crystalline AcPrZn2Sn2 at its relaxed geometry, from the Alexandria database.

Computed properties:
Its theoretical density is 7.50 g/cm3. For the energy, the calculation gives -3.83 eV per atom. Its energy relative to the elements is -0.5896 eV per atom. As for the space group: P-3m1.

Cell: 4.5655 4.5655 9.0284 Å, 90.00 90.00 120.00°
Closest atoms and distances in Å follow each position.
Fractional positions:
Ac  0.0000  0.0000  0.0000  6 Sn 3.50, 6 Zn 3.66
Pr  0.0000  0.0000  0.5000  6 Zn 3.30, 6 Sn 3.44
Zn  0.6667  0.3333  0.2807  3 Sn 2.65
Zn  0.3333  0.6667  0.7193  3 Sn 2.65
Sn  0.6667  0.3333  0.7445  3 Zn 2.65
Sn  0.3333  0.6667  0.2555  3 Zn 2.65

The following is a GGA-PBE calculation of crystalline SrAc6Pr3 at its relaxed geometry, from the Alexandria database.

Computed properties:
Its theoretical density is 7.26 g/cm3. For the energy, the calculation gives -4.02 eV per atom. Its energy relative to the elements is 0.0449 eV per atom. As for the space group: P2_1/m.

Cell: 5.5746 12.4040 12.3921 Å, 89.78 90.00 90.00°
Closest atoms and distances in Å follow each position.
Fractional positions:
Sr  0.2500  0.2960  0.8493  9 Ac 3.94-4.04, 3 Pr 3.99-4.01
Sr  0.7500  0.7040  0.1507  9 Ac 3.94-4.04, 3 Pr 3.99-4.01
Ac  0.2500  0.3994  0.5479  4 Pr 3.83-3.94, 7 Ac 3.90-4.00, 1 Sr 3.94
Ac  0.7500  0.6006  0.4521  4 Pr 3.83-3.94, 7 Ac 3.90-4.00, 1 Sr 3.94
Ac  0.2500  0.9069  0.0462  7 Ac 3.79-4.03, 3 Pr 3.91-4.02, 2 Sr 3.97
Ac  0.7500  0.0931  0.9538  7 Ac 3.79-4.03, 3 Pr 3.91-4.02, 2 Sr 3.97
Ac  0.2500  0.7005  0.6478  5 Pr 3.82-3.95, 7 Ac 3.86-3.94
Ac  0.7500  0.2995  0.3522  5 Pr 3.82-3.95, 7 Ac 3.86-3.94
Ac  0.2500  0.8106  0.3553  6 Pr 3.76-4.11, 4 Ac 3.87-4.01, 2 Sr 4.00
Ac  0.7500  0.1894  0.6447  6 Pr 3.76-4.11, 4 Ac 3.87-4.01, 2 Sr 4.00
Ac  0.2500  0.5989  0.9426  6 Ac 3.86-4.03, 3 Pr 3.88-4.05, 3 Sr 3.94-4.02
Ac  0.7500  0.4011  0.0574  6 Ac 3.86-4.03, 3 Pr 3.88-4.05, 3 Sr 3.94-4.02
Ac  0.2500  0.1977  0.1604  4 Pr 3.84-3.88, 7 Ac 3.88-4.00, 1 Sr 4.04
Ac  0.7500  0.8023  0.8396  4 Pr 3.84-3.88, 7 Ac 3.88-4.00, 1 Sr 4.04
Pr  0.2500  0.0970  0.4537  7 Ac 3.76-3.95, 5 Pr 3.80-3.87
Pr  0.7500  0.9030  0.5463  7 Ac 3.76-3.95, 5 Pr 3.80-3.87
Pr  0.2500  0.4956  0.2534  10 Ac 3.83-4.11, 2 Sr 4.01
Pr  0.7500  0.5044  0.7466  10 Ac 3.83-4.11, 2 Sr 4.01
Pr  0.2500  0.9928  0.7426  3 Pr 3.80-3.87, 8 Ac 3.82-4.02, 1 Sr 3.99
Pr  0.7500  0.0072  0.2574  3 Pr 3.80-3.87, 8 Ac 3.82-4.02, 1 Sr 3.99

The following is a GGA-PBE calculation of crystalline SrAc5Pr2 at its relaxed geometry, from the Alexandria database.

Computed properties:
Its theoretical density is 7.12 g/cm3. For the energy, the calculation gives -3.93 eV per atom. Its energy relative to the elements is 0.0400 eV per atom. As for the space group: Immm.

Cell: 3.9389 12.1028 9.7274 Å, 128.47 101.68 90.00°
Closest atoms and distances in Å follow each position.
Fractional positions:
Sr  0.0000  0.0000  0.0000  2 Sr 3.94, 4 Pr 4.15, 8 Ac 4.30
Ac  0.0000  0.5000  0.0000  2 Pr 3.71, 10 Ac 3.94
Ac  0.6343  0.4046  0.2687  3 Pr 3.67-3.82, 7 Ac 3.94-3.96
Ac  0.3657  0.5954  0.7313  3 Pr 3.67-3.82, 7 Ac 3.94-3.96
Ac  0.6343  0.8640  0.2687  3 Pr 3.67-3.82, 7 Ac 3.94-3.96
Ac  0.3657  0.1360  0.7313  3 Pr 3.67-3.82, 7 Ac 3.94-3.96
Pr  0.2519  0.7519  0.5038  7 Ac 3.67-3.82, 2 Pr 3.94
Pr  0.7481  0.2481  0.4962  7 Ac 3.67-3.82, 2 Pr 3.94

The following is a GGA-PBE calculation of crystalline SrAcPr2 at its relaxed geometry, from the Alexandria database.

Computed properties:
Its theoretical density is 5.86 g/cm3. For the energy, the calculation gives -3.67 eV per atom. Its energy relative to the elements is 0.1708 eV per atom. As for the space group: R-3m.

Cell: 3.8046 3.8046 13.6550 Å, 81.99 81.99 60.00°
Closest atoms and distances in Å follow each position.
Fractional positions:
Pr  0.0908  0.0908  0.7277  1 Sr 3.67, 3 Ac 3.77, 6 Pr 3.80
Pr  0.9092  0.9092  0.2723  1 Sr 3.67, 3 Ac 3.77, 6 Pr 3.80
Sr  0.0000  0.0000  0.0000  2 Pr 3.67, 6 Sr 3.80
Ac  0.5000  0.5000  0.5000  6 Pr 3.77, 6 Ac 3.80

The following is a GGA-PBE calculation of crystalline SrAc8Pr6 at its relaxed geometry, from the Alexandria database.

Computed properties:
Its theoretical density is 6.86 g/cm3. For the energy, the calculation gives -3.98 eV per atom. Its energy relative to the elements is 0.2323 eV per atom. As for the space group: R-3.

Cell: 9.3392 9.3392 9.3392 Å, 67.30 67.30 67.30°
Closest atoms and distances in Å follow each position.
Fractional positions:
Sr  0.0000  0.0000  0.0000  6 Pr 3.80, 6 Ac 4.11
Ac  0.1825  0.5798  0.8652  4 Pr 3.59-3.99, 4 Ac 3.82-3.99
Ac  0.1348  0.8175  0.4202  4 Pr 3.59-3.99, 4 Ac 3.82-3.99
Ac  0.4202  0.1348  0.8175  4 Pr 3.59-3.99, 4 Ac 3.82-3.99
Ac  0.7390  0.7390  0.7390  6 Pr 3.69-3.89, 3 Ac 3.87
Ac  0.2610  0.2610  0.2610  6 Pr 3.69-3.89, 3 Ac 3.87
Ac  0.5798  0.8652  0.1825  4 Pr 3.59-3.99, 4 Ac 3.82-3.99
Ac  0.8652  0.1825  0.5798  4 Pr 3.59-3.99, 4 Ac 3.82-3.99
Ac  0.8175  0.4202  0.1348  4 Pr 3.59-3.99, 4 Ac 3.82-3.99
Pr  0.0745  0.3787  0.6654  1 Pr 3.48, 5 Ac 3.59-3.89, 1 Sr 3.80
Pr  0.3346  0.9255  0.6213  1 Pr 3.48, 5 Ac 3.59-3.89, 1 Sr 3.80
Pr  0.6213  0.3346  0.9255  1 Pr 3.48, 5 Ac 3.59-3.89, 1 Sr 3.80
Pr  0.3787  0.6654  0.0745  1 Pr 3.48, 5 Ac 3.59-3.89, 1 Sr 3.80
Pr  0.6654  0.0745  0.3787  1 Pr 3.48, 5 Ac 3.59-3.89, 1 Sr 3.80
Pr  0.9255  0.6213  0.3346  1 Pr 3.48, 5 Ac 3.59-3.89, 1 Sr 3.80

The following is a GGA-PBE calculation of crystalline Sr2AcPr at its relaxed geometry, from the Alexandria database.

Computed properties:
Its theoretical density is 4.93 g/cm3. For the energy, the calculation gives -2.89 eV per atom. Its energy relative to the elements is 0.1758 eV per atom. As for the space group: P4/mmm.

Cell: 4.4851 4.4851 9.0883 Å, 90.00 90.00 90.00°
Closest atoms and distances in Å follow each position.
Fractional positions:
Pr  0.5000  0.5000  0.5000  8 Sr 3.84
Sr  0.0000  0.0000  0.7373  4 Pr 3.84, 4 Ac 3.97
Sr  0.0000  0.0000  0.2627  4 Pr 3.84, 4 Ac 3.97
Ac  0.5000  0.5000  0.0000  8 Sr 3.97

The following is a GGA-PBE calculation of crystalline Sr2Ac2Pr at its relaxed geometry, from the Alexandria database.

Computed properties:
Its theoretical density is 5.31 g/cm3. For the energy, the calculation gives -2.86 eV per atom. Its energy relative to the elements is 0.4108 eV per atom. As for the space group: I4/mmm.

Cell: 4.9609 4.9609 10.3988 Å, 103.80 103.80 90.00°
Closest atoms and distances in Å follow each position.
Fractional positions:
Sr  0.7500  0.2500  0.5000  4 Sr 3.51
Sr  0.2500  0.7500  0.5000  4 Sr 3.51
Ac  0.4108  0.4108  0.8216  1 Ac 3.49
Ac  0.5892  0.5892  0.1784  1 Ac 3.49
Pr  0.0000  0.0000  0.0000  8 Ac 3.92

The following is a GGA-PBE calculation of crystalline Sr2AcPr at its relaxed geometry, from the Alexandria database.

Computed properties:
Its theoretical density is 4.98 g/cm3. For the energy, the calculation gives -2.92 eV per atom. Its energy relative to the elements is 0.1475 eV per atom. As for the space group: P4/mmm.

Cell: 6.0280 5.4833 5.4833 Å, 90.00 90.00 90.00°
Closest atoms and distances in Å follow each position.
Fractional positions:
Pr  0.5000  0.0000  0.0000  4 Ac 3.88, 8 Sr 4.07
Sr  0.0000  0.0000  0.5000  4 Sr 3.88, 4 Ac 4.07, 4 Pr 4.07
Sr  0.0000  0.5000  0.0000  4 Sr 3.88, 4 Ac 4.07, 4 Pr 4.07
Ac  0.5000  0.5000  0.5000  4 Pr 3.88, 8 Sr 4.07

The following is a GGA-PBE calculation of crystalline Sr2AcPr at its relaxed geometry, from the Alexandria database.

Computed properties:
Its theoretical density is 4.97 g/cm3. For the energy, the calculation gives -2.94 eV per atom. Its energy relative to the elements is 0.1207 eV per atom. As for the space group: R3m.

Cell: 3.9780 3.9780 13.4419 Å, 81.49 81.49 60.00°
Closest atoms and distances in Å follow each position.
Fractional positions:
Sr  0.0859  0.0859  0.7423  3 Pr 3.96, 6 Sr 3.98, 3 Ac 4.13
Sr  0.2475  0.2475  0.2576  3 Pr 3.94, 6 Sr 3.98, 3 Ac 4.10
Ac  0.6663  0.6663  0.0011  6 Ac 3.98, 6 Sr 4.10-4.13
Pr  0.5003  0.5003  0.4991  6 Sr 3.94-3.96, 6 Pr 3.98

The following is a GGA-PBE calculation of crystalline SrAc6Pr at its relaxed geometry, from the Alexandria database.

Computed properties:
Its theoretical density is 7.40 g/cm3. For the energy, the calculation gives -3.85 eV per atom. Its energy relative to the elements is 0.0392 eV per atom. As for the space group: P4/mmm.

Cell: 5.6365 5.6365 11.2368 Å, 90.00 90.00 90.00°
Closest atoms and distances in Å follow each position.
Fractional positions:
Sr  0.0000  0.0000  0.0000  12 Ac 3.99-4.06
Ac  0.5000  0.5000  0.0000  4 Sr 3.99, 8 Ac 4.06
Ac  0.5000  0.5000  0.5000  8 Ac 3.90, 4 Pr 3.99
Ac  0.5000  0.0000  0.2597  2 Pr 3.90, 8 Ac 3.90-4.06, 2 Sr 4.06
Ac  0.5000  0.0000  0.7403  8 Ac 3.90-4.06, 2 Pr 3.90, 2 Sr 4.06
Ac  0.0000  0.5000  0.2597  2 Pr 3.90, 8 Ac 3.90-4.06, 2 Sr 4.06
Ac  0.0000  0.5000  0.7403  8 Ac 3.90-4.06, 2 Pr 3.90, 2 Sr 4.06
Pr  0.0000  0.0000  0.5000  12 Ac 3.90-3.99

The following is a GGA-PBE calculation of crystalline Sr2Ac6Pr3 at its relaxed geometry, from the Alexandria database.

Computed properties:
Its theoretical density is 6.77 g/cm3. For the energy, the calculation gives -3.82 eV per atom. Its energy relative to the elements is 0.0348 eV per atom. As for the space group: R-3m.

Cell: 3.9575 3.9575 35.5335 Å, 86.81 86.81 60.00°
Closest atoms and distances in Å follow each position.
Fractional positions:
Sr  0.5476  0.5476  0.3573  6 Sr 3.96, 6 Ac 4.16-4.17
Sr  0.4524  0.4524  0.6427  6 Sr 3.96, 6 Ac 4.16-4.17
Ac  0.9136  0.9136  0.2594  3 Pr 3.79, 6 Ac 3.96, 3 Sr 4.16
Ac  0.0864  0.0864  0.7406  3 Pr 3.79, 6 Ac 3.96, 3 Sr 4.16
Ac  0.8185  0.8185  0.5444  9 Ac 3.89-3.96, 3 Sr 4.17
Ac  0.1815  0.1815  0.4556  9 Ac 3.89-3.96, 3 Sr 4.17
Ac  0.6378  0.6378  0.0866  6 Pr 3.83-3.85, 6 Ac 3.96
Ac  0.3622  0.3622  0.9134  6 Pr 3.83-3.85, 6 Ac 3.96
Pr  0.0000  0.0000  0.0000  6 Ac 3.83, 6 Pr 3.96
Pr  0.7247  0.7247  0.8260  6 Ac 3.79-3.85, 6 Pr 3.96
Pr  0.2753  0.2753  0.1740  6 Ac 3.79-3.85, 6 Pr 3.96

The following is a GGA-PBE calculation of crystalline Sr2Ac5Pr at its relaxed geometry, from the Alexandria database.

Computed properties:
Its theoretical density is 6.60 g/cm3. For the energy, the calculation gives -3.54 eV per atom. Its energy relative to the elements is 0.0430 eV per atom. As for the space group: I4/mmm.

Cell: 5.6433 5.6433 12.1410 Å, 103.44 103.44 90.00°
Closest atoms and distances in Å follow each position.
Fractional positions:
Sr  0.7497  0.7497  0.4994  4 Sr 3.99, 8 Ac 4.17-4.18
Sr  0.2503  0.2503  0.5006  4 Sr 3.99, 8 Ac 4.17-4.18
Ac  0.5000  0.5000  0.0000  8 Ac 3.87, 4 Pr 3.99
Ac  0.3842  0.8842  0.7684  2 Pr 3.87, 6 Ac 3.87-3.99, 4 Sr 4.17-4.18
Ac  0.8842  0.3842  0.7684  6 Ac 3.87-3.99, 2 Pr 3.87, 4 Sr 4.17-4.18
Ac  0.6158  0.1158  0.2316  2 Pr 3.87, 6 Ac 3.87-3.99, 4 Sr 4.17-4.18
Ac  0.1158  0.6158  0.2316  6 Ac 3.87-3.99, 2 Pr 3.87, 4 Sr 4.17-4.18
Pr  0.0000  0.0000  0.0000  12 Ac 3.87-3.99